Here is Pr3Al12Os4 at its PBEsol-relaxed geometry from Alexandria via LeMat-Bulk. Energies are from meta-GGA SCAN.

Cell: 8.8456 8.8456 9.6485 Å, 90.00 90.00 120.00°
Last column: nearest neighbours and their distance in Å.
Positions (direct):
1 Pr 0.6159 0.8079 0.2500  11 Al 2.94-3.23
2 Pr 0.3841 0.1921 0.7500  11 Al 2.94-3.23
3 Pr 0.1921 0.3841 0.2500  11 Al 2.94-3.23
4 Pr 0.8079 0.6159 0.7500  11 Al 2.94-3.23
5 Pr 0.1921 0.8079 0.2500  11 Al 2.94-3.23
6 Pr 0.8079 0.1921 0.7500  11 Al 2.94-3.23
7 Al 0.3333 0.6667 0.4895  3 Os 2.56, 3 Al 2.73
8 Al 0.6667 0.3333 0.5105  3 Os 2.56, 3 Al 2.73
9 Al 0.6667 0.3333 0.9895  3 Os 2.56, 3 Al 2.73
10 Al 0.3333 0.6667 0.0105  3 Os 2.56, 3 Al 2.73
11 Al 0.6737 0.8368 0.9263  3 Os 2.60-2.68, 5 Al 2.73-2.88
12 Al 0.3263 0.1632 0.0737  3 Os 2.60-2.68, 5 Al 2.73-2.88
13 Al 0.1632 0.3263 0.9263  3 Os 2.60-2.68, 5 Al 2.73-2.88
14 Al 0.3263 0.1632 0.4263  3 Os 2.60-2.68, 5 Al 2.73-2.88
15 Al 0.8368 0.6737 0.0737  3 Os 2.60-2.68, 5 Al 2.73-2.88
16 Al 0.6737 0.8368 0.5737  3 Os 2.60-2.68, 5 Al 2.73-2.88
17 Al 0.1632 0.8368 0.9263  3 Os 2.60-2.68, 5 Al 2.73-2.88
18 Al 0.8368 0.6737 0.4263  3 Os 2.60-2.68, 5 Al 2.73-2.88
19 Al 0.8368 0.1632 0.0737  3 Os 2.60-2.68, 5 Al 2.73-2.88
20 Al 0.1632 0.3263 0.5737  3 Os 2.60-2.68, 5 Al 2.73-2.88
21 Al 0.8368 0.1632 0.4263  3 Os 2.60-2.68, 5 Al 2.73-2.88
22 Al 0.1632 0.8368 0.5737  3 Os 2.60-2.68, 5 Al 2.73-2.88
23 Al 0.8757 0.4378 0.2500  2 Os 2.59, 6 Al 2.77-2.84
24 Al 0.1243 0.5622 0.7500  2 Os 2.59, 6 Al 2.77-2.84
25 Al 0.5622 0.1243 0.2500  2 Os 2.59, 6 Al 2.77-2.84
26 Al 0.4378 0.8757 0.7500  2 Os 2.59, 6 Al 2.77-2.84
27 Al 0.5622 0.4378 0.2500  2 Os 2.59, 6 Al 2.77-2.84
28 Al 0.4378 0.5622 0.7500  2 Os 2.59, 6 Al 2.77-2.84
29 Al 0.0000 0.0000 0.2500  2 Os 2.41
30 Al 0.0000 0.0000 0.7500  2 Os 2.41
31 Os 0.0000 0.5000 0.5000  8 Al 2.56-2.68
32 Os 0.5000 0.0000 0.5000  8 Al 2.56-2.68
33 Os 0.0000 0.5000 0.0000  8 Al 2.56-2.68
34 Os 0.5000 0.5000 0.5000  8 Al 2.56-2.68
35 Os 0.5000 0.0000 0.0000  8 Al 2.56-2.68
36 Os 0.5000 0.5000 0.0000  8 Al 2.56-2.68
37 Os 0.0000 0.0000 0.5000  8 Al 2.41-2.60
38 Os 0.0000 0.0000 0.0000  8 Al 2.41-2.60

- energy relative to the elements (meV per atom) = -674
- volume (Å³ per atom) = 17.21
- density (g/cm3) = 7.7